# 1
Here is a relaxed BeTlRe2 crystal from Alexandria via LeMat-Bulk. Energies are from GGA-PBE.

The structure in CIF format:
```
data_BeTlRe2
_cell_length_a 8.8609
_cell_length_b 3.0747
_cell_length_c 4.8395
_cell_angle_alpha 90.00
_cell_angle_beta 100.04
_cell_angle_gamma 90.00
_space_group_name_H-M_alt 'C 1 2/m 1'
_space_group_IT_number 12
loop_
_space_group_symop_operation_xyz
'x,y,z'
'-x,-y,-z'
'-x,y,-z'
'x,-y,z'
'x+1/2,y+1/2,z'
'-x+1/2,-y+1/2,-z'
'-x+1/2,y+1/2,-z'
'x+1/2,-y+1/2,z'
loop_
_atom_site_label
_atom_site_type_symbol
_atom_site_fract_x
_atom_site_fract_y
_atom_site_fract_z
Be1 Be 0.0000 0.0000 0.0000
Tl1 Tl 0.0000 0.5000 0.5000
Re1 Re 0.2421 0.5000 0.1961
```

Summary:
VASP energy	-7.025	eV/atom
density of states at the Fermi level	0.45	states/eV per atom
calculated density	14985	kg/m³
energy relative to the elements	0.72	eV per atom

# 2
Here is a relaxed BeTlRe3 crystal from Alexandria via LeMat-Bulk. Energies are from GGA-PBE.

The structure in CIF format:
```
data_BeTlRe3
_cell_length_a 4.9416
_cell_length_b 4.9416
_cell_length_c 4.9416
_cell_angle_alpha 90.00
_cell_angle_beta 90.00
_cell_angle_gamma 90.00
_space_group_name_H-M_alt 'P m -3 m'
_space_group_IT_number 221
_space_group_name_Hall '-P 4 2 3'
loop_
_atom_site_label
_atom_site_type_symbol
_atom_site_fract_x
_atom_site_fract_y
_atom_site_fract_z
Be1 Be 0.0000 0.0000 0.0000
Tl1 Tl 0.5000 0.5000 0.5000
Re1 Re 0.0000 0.5000 0.5000
```

Summary:
VASP energy	-4.991	eV/atom
density of states at the Fermi level	1.62	states/eV per atom
calculated density	10624	kg/m³
energy relative to the elements	3.70	eV per atom

# 3
Here is a relaxed Be2TlRe crystal from Alexandria via LeMat-Bulk. Energies are from GGA-PBE.

The structure in CIF format:
```
data_Be2TlRe
_cell_length_a 2.7681
_cell_length_b 3.7627
_cell_length_c 5.7649
_cell_angle_alpha 90.00
_cell_angle_beta 90.05
_cell_angle_gamma 90.00
_space_group_name_H-M_alt 'P 1 m 1'
_space_group_IT_number 6
loop_
_space_group_symop_operation_xyz
'x,y,z'
'x,-y,z'
loop_
_atom_site_label
_atom_site_type_symbol
_atom_site_fract_x
_atom_site_fract_y
_atom_site_fract_z
Be1 Be 0.0000 0.0000 0.0000
Be2 Be 0.0029 0.5000 0.2078
Tl1 Tl 0.0024 0.5000 0.6779
Re1 Re 0.5026 0.0000 0.3333
```

Summary:
VASP energy	-5.044	eV/atom
density of states at the Fermi level	0.26	states/eV per atom
calculated density	11300	kg/m³
energy relative to the elements	0.52	eV per atom